Record 1
Here is a geometry-optimized TbPr2Sm5Th structure from Alexandria via LeMat-Bulk. Energies are from GGA-PBE.

Cell lengths 10.6689, 10.6689, 10.6014 Å; angles 90.00, 90.00, 148.87 degrees
With the nearest neighbours (Å) after each atom.
Sites, in units of the cell vectors:
Tb 0.0928 0.9072 0.5000  5 Sm 3.08-3.39
Tb 0.9072 0.0928 0.0000  5 Sm 3.08-3.39
Pr 0.3844 0.6156 0.3628  8 Sm 3.29-3.61, 1 Th 3.66
Pr 0.3843 0.6157 0.7753  1 Th 3.44, 7 Sm 3.51-3.74, 2 Tb 3.75
Pr 0.6157 0.3843 0.2753  1 Th 3.44, 7 Sm 3.51-3.74, 2 Tb 3.75
Pr 0.6156 0.3844 0.8628  8 Sm 3.29-3.61, 1 Th 3.66
Sm 0.0196 0.9804 0.7867  2 Tb 3.23-3.39, 2 Sm 3.55, 2 Pr 3.57
Sm 0.1122 0.8878 0.0697  6 Sm 3.55-3.89, 4 Pr 3.60-3.61, 1 Th 3.88
Sm 0.2038 0.7962 0.7499  3 Sm 3.43-3.81, 1 Tb 3.50, 3 Th 3.52-3.82, 3 Pr 3.59-3.72
Sm 0.2242 0.7758 0.3600  1 Tb 3.08, 1 Pr 3.29, 2 Sm 3.43
Sm 0.4842 0.5158 0.0647  2 Tb 3.34, 3 Pr 3.45-3.69, 2 Sm 3.71
Sm 0.5158 0.4842 0.5647  2 Tb 3.34, 3 Pr 3.45-3.69, 2 Sm 3.71
Sm 0.7758 0.2242 0.8600  1 Tb 3.08, 1 Pr 3.29, 2 Sm 3.43
Sm 0.7962 0.2038 0.2499  3 Sm 3.43-3.81, 1 Tb 3.50, 3 Th 3.52-3.82, 3 Pr 3.59-3.72
Sm 0.8878 0.1122 0.5697  6 Sm 3.55-3.89, 4 Pr 3.60-3.61, 1 Th 3.88
Sm 0.9804 0.0196 0.2867  2 Tb 3.23-3.39, 2 Sm 3.55, 2 Pr 3.57
Th 0.3011 0.6989 0.0574  2 Pr 3.44-3.66, 7 Sm 3.52-3.82, 2 Tb 3.65
Th 0.6989 0.3011 0.5574  2 Pr 3.44-3.66, 7 Sm 3.52-3.82, 2 Tb 3.65

Calculated values
* formation energy from the elements: 0.150 eV per atom

***

Record 2
Here is a geometry-optimized NaHoOsO6 structure from Alexandria via LeMat-Bulk. Energies are from GGA-PBE.

Cell lengths 5.5352, 5.5352, 4.9912 Å; angles 90.00, 90.00, 120.00 degrees
With the nearest neighbours (Å) after each atom.
Sites, in units of the cell vectors:
Na 0.0000 0.0000 0.0000  6 O 2.51
Ho 0.3333 0.6667 0.5000  6 O 2.23
Os 0.6667 0.3333 0.5000  6 O 1.88
O 0.3944 0.0478 0.7141  1 Os 1.88
O 0.3944 0.3466 0.2859  1 Os 1.88
O 0.6534 0.0478 0.2859  1 Os 1.88
O 0.6534 0.6056 0.7141  1 Os 1.88
O 0.9522 0.3466 0.7141  1 Os 1.88
O 0.9522 0.6056 0.2859  1 Os 1.88

Calculated values
* formation energy from raw total energies: -1.749 eV per atom

***

Record 3
Here is a geometry-optimized LaThSbAu structure from Alexandria via LeMat-Bulk. Energies are from GGA-PBE.

Cell lengths 5.4080, 5.4080, 5.4080 Å; angles 60.00, 60.00, 60.00 degrees
With the nearest neighbours (Å) after each atom.
Sites, in units of the cell vectors:
La 0.0000 0.0000 0.0000  4 Sb 3.31, 4 Au 3.31
Th 0.5000 0.5000 0.5000  4 Sb 3.31, 4 Au 3.31
Sb 0.7500 0.7500 0.7500  4 Th 3.31, 4 La 3.31
Au 0.2500 0.2500 0.2500  4 Th 3.31, 4 La 3.31

Calculated values
* formation energy from raw total energies: -0.702 eV per atom

***

Record 4
Here is a geometry-optimized TcAgRu2 structure from Alexandria via LeMat-Bulk. Energies are from GGA-PBE.

Cell lengths 4.7635, 4.7635, 4.8688 Å; angles 99.51, 99.51, 33.42 degrees
With the nearest neighbours (Å) after each atom.
Sites, in units of the cell vectors:
Tc 0.0000 0.0000 0.0000  6 Ru 2.66-2.78, 2 Tc 2.74, 4 Ag 2.79
Ag 0.5000 0.5000 0.5000  2 Ag 2.74, 6 Ru 2.76-2.86, 4 Tc 2.79
Ru 0.2596 0.2596 0.7743  4 Ru 2.62-2.74, 3 Tc 2.66-2.78, 3 Ag 2.76-2.86
Ru 0.7404 0.7404 0.2257  4 Ru 2.62-2.74, 3 Tc 2.66-2.78, 3 Ag 2.76-2.86

Calculated values
* excess energy over the best structure of this formula in the dataset: 196.5 meV/atom
* formation energy from the elements: 0.392 eV per atom

***

Record 5
Here is a geometry-optimized SrCe2Br11 structure from Alexandria via LeMat-Bulk. Energies are from GGA-PBE.

Cell lengths 11.4841, 11.4841, 11.4841 Å; angles 122.13, 106.23, 100.87 degrees
With the nearest neighbours (Å) after each atom.
Sites, in units of the cell vectors:
Sr 0.2500 0.2500 0.0000  8 Br 3.16-3.26
Sr 0.7500 0.7500 0.0000  8 Br 3.16-3.26
Ce 0.1930 0.6565 0.8496  6 Br 2.77-3.00
Ce 0.3070 0.1565 0.4635  6 Br 2.77-3.00
Ce 0.6930 0.8435 0.5365  6 Br 2.77-3.00
Ce 0.8070 0.3435 0.1504  6 Br 2.77-3.00
Br 0.0000 0.5000 0.5000  2 Br 2.98, 2 Ce 3.18
Br 0.0369 0.9693 0.2846  1 Ce 2.77
Br 0.0486 0.3587 0.1432  1 Ce 2.77
Br 0.1847 0.4693 0.9324  1 Ce 2.77
Br 0.1965 0.3890 0.5855  2 Ce 2.97-3.00, 1 Br 2.98
Br 0.2155 0.9054 0.8568  1 Ce 2.77
Br 0.2845 0.1413 0.6899  1 Ce 2.77
Br 0.3035 0.8890 0.1926  2 Ce 2.97-3.00, 1 Br 2.98
Br 0.3153 0.2477 0.2846  1 Ce 2.77
Br 0.4514 0.5946 0.3101  1 Ce 2.77
Br 0.4631 0.7477 0.9324  1 Ce 2.77
Br 0.5000 0.0000 0.5000  2 Br 2.98, 2 Ce 3.18
Br 0.5369 0.2523 0.0676  1 Ce 2.77
Br 0.5486 0.4054 0.6899  1 Ce 2.77
Br 0.6847 0.7523 0.7154  1 Ce 2.77
Br 0.6965 0.1110 0.8074  2 Ce 2.97-3.00, 1 Br 2.98
Br 0.7155 0.8587 0.3101  1 Ce 2.77
Br 0.7845 0.0946 0.1432  1 Ce 2.77
Br 0.8035 0.6110 0.4145  2 Ce 2.97-3.00, 1 Br 2.98
Br 0.8153 0.5307 0.0676  1 Ce 2.77
Br 0.9514 0.6413 0.8568  1 Ce 2.77
Br 0.9631 0.0307 0.7154  1 Ce 2.77

Calculated values
* formation energy from raw total energies: -1.458 eV per atom

***

Record 6
Here is a geometry-optimized HgPt2WSe structure from Alexandria via LeMat-Bulk. Energies are from GGA-PBE.

Cell lengths 4.6913, 4.6913, 5.0765 Å; angles 90.00, 90.00, 90.00 degrees
With the nearest neighbours (Å) after each atom.
Sites, in units of the cell vectors:
Hg 0.0000 0.0000 0.0000  2 Se 2.54
Pt 0.0000 0.5000 0.5000  2 Se 2.35
Pt 0.5000 0.0000 0.5000  2 Se 2.35
W 0.5000 0.5000 0.0000  4 Hg 3.32, 8 Pt 3.46
Se 0.0000 0.0000 0.5000  4 Pt 2.35, 2 Hg 2.54

Calculated values
* formation energy from raw total energies: 1.458 eV per atom
* excess energy over the best structure of this formula in the dataset: 0.0 meV/atom

***

Record 7
Here is a geometry-optimized K2NaRh2 structure from Alexandria via LeMat-Bulk. Energies are from GGA-PBE.

Cell lengths 9.8803, 9.8803, 2.8575 Å; angles 90.00, 90.00, 90.00 degrees
With the nearest neighbours (Å) after each atom.
Sites, in units of the cell vectors:
K 0.1928 0.3072 0.0000  2 K 2.86
K 0.3072 0.8072 0.0000  2 K 2.86
K 0.6928 0.1928 0.0000  2 K 2.86
K 0.8072 0.6928 0.0000  2 K 2.86
Na 0.0000 0.0000 0.0000  2 Na 2.86
Na 0.5000 0.5000 0.0000  2 Na 2.86
Rh 0.0863 0.5863 0.5000  1 Rh 2.41
Rh 0.4137 0.0863 0.5000  1 Rh 2.41
Rh 0.5863 0.9137 0.5000  1 Rh 2.41
Rh 0.9137 0.4137 0.5000  1 Rh 2.41

Calculated values
* excess energy over the best structure of this formula in the dataset: 283.0 meV/atom
* formation energy from the elements: 0.671 eV per atom

***

Record 8
Here is a geometry-optimized Ca4DyPt5 structure from Alexandria via LeMat-Bulk. Energies are from GGA-PBE.

Cell lengths 3.5021, 3.5021, 17.4334 Å; angles 90.00, 90.00, 90.00 degrees
With the nearest neighbours (Å) after each atom.
Sites, in units of the cell vectors:
Ca 0.0000 0.0000 0.0993  8 Pt 3.02-3.03
Ca 0.0000 0.0000 0.2972  8 Pt 3.00-3.13
Ca 0.0000 0.0000 0.7028  8 Pt 3.00-3.13
Ca 0.0000 0.0000 0.9007  8 Pt 3.02-3.03
Dy 0.0000 0.0000 0.5000  8 Pt 2.96
Pt 0.5000 0.5000 0.0000  8 Ca 3.02
Pt 0.5000 0.5000 0.1998  8 Ca 3.00-3.03
Pt 0.5000 0.5000 0.4069  4 Dy 2.96, 4 Ca 3.13, 1 Pt 3.24
Pt 0.5000 0.5000 0.5931  4 Dy 2.96, 4 Ca 3.13, 1 Pt 3.24
Pt 0.5000 0.5000 0.8002  8 Ca 3.00-3.03

Calculated values
* formation energy from the elements: -0.968 eV per atom

***

Record 9
Here is a geometry-optimized PrMgMnGe2 structure from Alexandria via LeMat-Bulk. Energies are from GGA-PBE.

Cell lengths 6.3910, 6.3910, 6.3910 Å; angles 141.38, 141.38, 55.77 degrees
With the nearest neighbours (Å) after each atom.
Sites, in units of the cell vectors:
Pr 0.0000 0.0000 0.0000  8 Ge 3.25, 4 Mn 3.53, 4 Mg 3.53
Mg 0.2500 0.7500 0.5000  4 Ge 2.62
Mn 0.7500 0.2500 0.5000  4 Ge 2.62
Ge 0.3865 0.3865 0.0000  1 Ge 2.56, 2 Mn 2.62, 2 Mg 2.62
Ge 0.6135 0.6135 0.0000  1 Ge 2.56, 2 Mn 2.62, 2 Mg 2.62

Calculated values
* formation energy from the elements: -0.468 eV per atom

***

Record 10
Here is a geometry-optimized Li3InBi structure from Alexandria via LeMat-Bulk. Energies are from GGA-PBE.

Cell lengths 4.4838, 4.5736, 10.5301 Å; angles 90.00, 102.26, 90.00 degrees
With the nearest neighbours (Å) after each atom.
Sites, in units of the cell vectors:
Li 0.0538 0.2500 0.1073  4 Li 3.05-3.18, 6 In 3.10-3.20, 2 Bi 3.15
Li 0.1519 0.7500 0.3038  6 Li 3.03-3.05, 2 In 3.06, 4 Bi 3.21
Li 0.2490 0.2500 0.4973  4 Bi 2.87-2.94, 8 Li 3.03-3.20
Li 0.7510 0.7500 0.5027  4 Bi 2.87-2.94, 8 Li 3.03-3.20
Li 0.8481 0.2500 0.6962  6 Li 3.03-3.05, 2 In 3.06, 4 Bi 3.21
Li 0.9462 0.7500 0.8927  4 Li 3.05-3.18, 6 In 3.10-3.20, 2 Bi 3.15
In 0.4489 0.2500 0.8984  8 Li 3.06-3.20, 2 In 3.10, 2 Bi 3.22
In 0.5511 0.7500 0.1016  8 Li 3.06-3.20, 2 In 3.10, 2 Bi 3.22
Bi 0.3382 0.7500 0.6774  10 Li 2.87-3.21
Bi 0.6618 0.2500 0.3226  10 Li 2.87-3.21

Calculated values
* excess energy over the best structure of this formula in the dataset: 0.0 meV/atom
* formation energy from the elements: -0.362 eV per atom

***

Record 11
Here is a geometry-optimized BiTeIr2Rh structure from Alexandria via LeMat-Bulk. Energies are from GGA-PBE.

Cell lengths 4.8952, 4.8952, 4.8470 Å; angles 90.00, 90.00, 90.00 degrees
With the nearest neighbours (Å) after each atom.
Sites, in units of the cell vectors:
Bi 0.0000 0.0000 0.0000  8 Ir 3.44, 4 Rh 3.46
Te 0.5000 0.5000 0.5000  2 Rh 2.42, 4 Ir 2.45
Ir 0.0000 0.5000 0.5000  2 Te 2.45
Ir 0.5000 0.0000 0.5000  2 Te 2.45
Rh 0.5000 0.5000 0.0000  2 Te 2.42

Calculated values
* formation energy from raw total energies: 1.040 eV per atom